No. 1
{"formula": "PuCdPd", "functional": "PBE-GGA", "state": "relaxed", "cell": [[4.773, 0.000, 0.000], [2.387, 4.134, 0.000], [2.387, 1.378, 3.897]], "species": ["Cd", "Pd", "Pu"], "frac_coords": [[0.000, 0.000, 0.000], [0.250, 0.250, 0.250], [0.500, 0.500, 0.500]], "m_tot_mub_per_fu": 5.8, "sg": "F-43m (216)"}



No. 2
{"formula": "Pu3CdPd12", "functional": "PBE-GGA", "state": "relaxed", "cell": [[4.126, 0.000, 0.000], [0.000, 4.126, 0.000], [0.000, 0.000, 16.430]], "species": ["Pd", "Pd", "Pd", "Pd", "Pd", "Pd", "Pd", "Pd", "Pd", "Pd", "Pd", "Pd", "Pu", "Pu", "Pu", "Cd"], "frac_coords": [[0.000, 0.500, 0.877], [0.500, 0.500, 0.752], [0.000, 0.500, 0.123], [0.500, 0.000, 0.877], [0.000, 0.500, 0.627], [0.500, 0.000, 0.373], [0.500, 0.500, 0.500], [0.500, 0.500, 0.000], [0.500, 0.000, 0.123], [0.500, 0.000, 0.627], [0.500, 0.500, 0.248], [0.000, 0.500, 0.373], [0.000, 0.000, 0.244], [0.000, 0.000, 0.500], [0.000, 0.000, 0.756], [0.000, 0.000, 0.000]], "m_tot_mub_per_fu": 4.0, "sg": "P4/mmm (123)"}



No. 3
{"formula": "PuCd3Pd", "functional": "PBE-GGA", "state": "relaxed", "cell": [[5.109, 0.000, -2.063], [0.000, 5.828, 0.000], [0.012, 0.000, 7.622]], "species": ["Pd", "Pd", "Cd", "Cd", "Cd", "Cd", "Cd", "Cd", "Pu", "Pu"], "frac_coords": [[0.884, 0.448, 0.814], [0.151, 0.948, 0.746], [0.314, 0.695, 0.087], [0.175, 0.948, 0.386], [0.859, 0.448, 0.174], [0.720, 0.195, 0.474], [0.720, 0.700, 0.474], [0.314, 0.200, 0.087], [0.720, 0.948, 0.892], [0.315, 0.448, 0.669]], "relative_energy_mev_per_atom": 0, "m_tot_mub_per_fu": 5.7, "sg": "P2_1/m (11)"}



No. 4
{"formula": "PuCd2Pd", "functional": "PBE-GGA", "state": "relaxed", "cell": [[-0.076, 2.097, -2.301], [-2.668, 1.443, -0.705], [1.291, 8.470, 5.570]], "species": ["Pd", "Cd", "Cd", "Pu"], "frac_coords": [[0.667, 0.667, 0.000], [0.072, 0.072, 0.783], [0.261, 0.261, 0.217], [0.500, 0.500, 0.501]], "m_tot_mub_per_fu": 5.6, "sg": "R3m (160)"}



No. 5
{"formula": "PuCd2Pd5", "functional": "PBE-GGA", "state": "relaxed", "cell": [[-0.021, -3.329, 2.585], [4.196, 0.228, 0.329], [-2.854, 6.442, 4.824]], "species": ["Pd", "Pd", "Pd", "Pd", "Pd", "Cd", "Cd", "Pu"], "frac_coords": [[0.626, 0.126, 0.253], [0.874, 0.374, 0.747], [0.500, 0.500, 0.000], [0.374, 0.874, 0.747], [0.126, 0.626, 0.253], [0.253, 0.253, 0.506], [0.747, 0.747, 0.494], [0.000, 0.000, 0.000]], "m_tot_mub_per_fu": 4.8, "sg": "Fmmm (69)"}



No. 6
{"formula": "PuCd2Pd9", "functional": "PBE-GGA", "state": "relaxed", "cell": [[-3.422, -0.076, 2.222], [0.996, -3.699, 1.408], [5.919, 5.132, 9.291]], "species": ["Pd", "Pd", "Pd", "Pd", "Pd", "Pd", "Pd", "Pd", "Pd", "Cd", "Cd", "Pu"], "frac_coords": [[0.500, 0.000, 0.831], [0.000, 0.500, 0.831], [0.500, 0.000, 0.169], [0.500, 0.500, 0.334], [0.500, 0.000, 0.500], [0.500, 0.500, 0.000], [0.000, 0.500, 0.169], [0.500, 0.500, 0.666], [0.000, 0.500, 0.500], [0.000, 0.000, 0.337], [0.000, 0.000, 0.663], [0.000, 0.000, 0.000]], "m_tot_mub_per_fu": 4.2, "sg": "P4/mmm (123)"}



| no. | formation energy (eV/atom) |
| --- | --- |
| 1 | -0.195 |
| 2 | -0.483 |
| 3 | -0.223 |
| 4 | -0.091 |
| 5 | -0.440 |
| 6 | -0.347 |